Entry 1:
DFT (PBE) results for crystalline Sc3Zn at its relaxed geometry. Values from VASP.

```
&SYSTEM
  ibrav = 0, nat = 4, ntyp = 2
/
ATOMIC_SPECIES
Sc 44.96 Sc.upf
Zn 65.41 Zn.upf
CELL_PARAMETERS angstrom
3.0335 0.0000 0.0000
1.0112 5.7593 0.0000
1.0112 -2.8797 4.9877
ATOMIC_POSITIONS crystal
Sc 0.5000 0.0000 0.5000
Zn 0.0000 0.5000 0.5000
Sc 0.0000 0.0000 0.0000
Sc 0.5000 0.5000 0.0000
```

Calculated values
V: 21.79 Å³ per atom
ΔE_f: 21 meV/atom
Density of states at the Fermi level: 7.34 states/eV per cell
Crystal system: trigonal
Space-group type: R-3m



Entry 2:
DFT (PBE) results for crystalline Sc5Zn6 at its relaxed geometry. Values from VASP.

```
&SYSTEM
  ibrav = 0, nat = 11, ntyp = 2
/
ATOMIC_SPECIES
Zn 65.41 Zn.upf
Sc 44.96 Sc.upf
CELL_PARAMETERS angstrom
-1.0019 -3.7782 2.6562
6.2515 -0.3563 1.8653
-3.9891 6.1984 3.1009
ATOMIC_POSITIONS crystal
Zn 0.4989 0.7872 0.0000
Zn 0.8505 0.0629 0.7016
Zn 0.1495 0.9371 0.2984
Zn 0.1489 0.3613 0.2984
Zn 0.5011 0.2128 0.0000
Sc 0.6865 0.1865 0.3730
Sc 0.6599 0.6599 0.3199
Sc 0.3401 0.3401 0.6801
Sc 0.3135 0.8135 0.6270
Zn 0.8511 0.6387 0.7016
Sc 0.0000 0.5000 0.0000
```

Calculated values
V: 19.38 Å³ per atom
ΔE_f: -226 meV/atom
Density of states at the Fermi level: 10.66 states/eV per cell
Crystal system: monoclinic
Space-group type: C2/m



Entry 3:
DFT (PBE) results for crystalline Sc4Zn3 at its relaxed geometry. Values from VASP.

```
&SYSTEM
  ibrav = 0, nat = 7, ntyp = 2
/
ATOMIC_SPECIES
Zn 65.41 Zn.upf
Sc 44.96 Sc.upf
CELL_PARAMETERS angstrom
-2.7723 0.2634 -4.5209
1.1146 -4.7210 2.1595
-4.8186 0.2198 2.9677
ATOMIC_POSITIONS crystal
Zn 0.0000 0.5000 0.0000
Zn 0.5000 0.0000 0.0000
Sc 0.6667 0.3333 0.5000
Sc 0.0000 0.0000 0.7496
Sc 0.0000 0.0000 0.2504
Sc 0.3333 0.6667 0.5000
Zn 0.5000 0.5000 0.0000
```

Calculated values
V: 19.75 Å³ per atom
ΔE_f: -169 meV/atom
Density of states at the Fermi level: 10.34 states/eV per cell
Crystal system: hexagonal
Space-group type: P6/mmm



Entry 4:
DFT (PBE) results for crystalline ScZn6 at its relaxed geometry. Values from VASP.

```
&SYSTEM
  ibrav = 0, nat = 28, ntyp = 2
/
ATOMIC_SPECIES
Zn 65.41 Zn.upf
Sc 44.96 Sc.upf
CELL_PARAMETERS angstrom
5.2376 0.0000 0.0000
0.0000 8.1565 0.0000
0.0000 0.0000 10.4126
ATOMIC_POSITIONS crystal
Zn 0.7500 0.6917 0.2572
Zn 0.4863 0.9364 0.3084
Sc 0.7500 0.2396 0.9383
Zn 0.2500 0.6382 0.3518
Zn 0.7500 0.4392 0.4136
Sc 0.2500 0.2604 0.4383
Zn 0.7500 0.1917 0.2428
Zn 0.0137 0.9364 0.3084
Zn 0.7500 0.8618 0.8518
Zn 0.7500 0.3618 0.6482
Sc 0.7500 0.7396 0.5617
Zn 0.0137 0.4364 0.1916
Zn 0.4863 0.4364 0.1916
Zn 0.9863 0.5636 0.8084
Zn 0.9863 0.0636 0.6916
Zn 0.5137 0.0636 0.6916
Zn 0.2500 0.8083 0.7572
Zn 0.2500 0.3083 0.7428
Sc 0.2500 0.7604 0.0617
Zn 0.2500 0.9011 0.5214
Zn 0.2500 0.0608 0.9136
Zn 0.2500 0.5608 0.5864
Zn 0.2500 0.4011 0.9786
Zn 0.7500 0.9392 0.0864
Zn 0.2500 0.1382 0.1482
Zn 0.7500 0.0989 0.4786
Zn 0.5137 0.5636 0.8084
Zn 0.7500 0.5989 0.0214
```

Calculated values
V: 15.89 Å³ per atom
ΔE_f: -166 meV/atom
Density of states at the Fermi level: 11.88 states/eV per cell
Crystal system: orthorhombic
Space-group type: Pnma



Entry 5:
DFT (PBE) results for crystalline ScZn2 at its relaxed geometry. Values from VASP.

```
&SYSTEM
  ibrav = 0, nat = 3, ntyp = 2
/
ATOMIC_SPECIES
Zn 65.41 Zn.upf
Sc 44.96 Sc.upf
CELL_PARAMETERS angstrom
-0.4361 1.6395 2.7342
-1.5391 -2.7868 -0.4678
4.8699 -3.1356 2.6570
ATOMIC_POSITIONS crystal
Zn 0.6667 0.3333 0.6523
Sc 0.0000 0.0000 0.0000
Zn 0.3333 0.6667 0.3477
```

Calculated values
V: 19.05 Å³ per atom
ΔE_f: -73 meV/atom
Density of states at the Fermi level: 1.81 states/eV per cell
Crystal system: trigonal
Space-group type: P-3m1



Entry 6:
DFT (PBE) results for crystalline ZrScZn at its relaxed geometry. Values from VASP.

```
&SYSTEM
  ibrav = 0, nat = 3, ntyp = 3
/
ATOMIC_SPECIES
Zn 65.41 Zn.upf
Zr 91.22 Zr.upf
Sc 44.96 Sc.upf
CELL_PARAMETERS angstrom
-2.7309 -0.1008 -1.7457
0.5223 -2.2027 2.3218
-3.1709 4.2198 4.7168
ATOMIC_POSITIONS crystal
Zn 0.6667 0.3333 0.3325
Zr 0.3333 0.6667 0.6545
Sc 0.0000 0.0000 0.0130
```

Calculated values
V: 21.49 Å³ per atom
ΔE_f: -53 meV/atom
Density of states at the Fermi level: 4.80 states/eV per cell
Crystal system: trigonal
Space-group type: P3m1



Entry 7:
DFT (PBE) results for crystalline Zr4ScZn at its relaxed geometry. Values from VASP.

```
&SYSTEM
  ibrav = 0, nat = 12, ntyp = 3
/
ATOMIC_SPECIES
Zr 91.22 Zr.upf
Zn 65.41 Zn.upf
Sc 44.96 Sc.upf
CELL_PARAMETERS angstrom
5.3690 0.2578 0.6147
2.0599 4.9648 0.6147
1.6724 1.1757 10.2881
ATOMIC_POSITIONS crystal
Zr 0.1656 0.6871 0.4652
Zn 0.1034 0.8966 0.7500
Zr 0.6760 0.6969 0.2540
Zr 0.6969 0.6760 0.7540
Zr 0.6871 0.1656 0.9652
Zr 0.3240 0.3031 0.7460
Sc 0.0000 0.5000 0.0000
Zr 0.3031 0.3240 0.2460
Sc 0.5000 0.0000 0.5000
Zn 0.8966 0.1034 0.2500
Zr 0.3129 0.8344 0.0348
Zr 0.8344 0.3129 0.5348
```

Calculated values
V: 21.80 Å³ per atom
ΔE_f: -33 meV/atom
Density of states at the Fermi level: 13.97 states/eV per cell
Crystal system: monoclinic
Space-group type: C2/c



Entry 8:
DFT (PBE) results for crystalline ZrScZn4 at its relaxed geometry. Values from VASP.

```
&SYSTEM
  ibrav = 0, nat = 6, ntyp = 3
/
ATOMIC_SPECIES
Zn 65.41 Zn.upf
Sc 44.96 Sc.upf
Zr 91.22 Zr.upf
CELL_PARAMETERS angstrom
-4.2783 -0.1955 -3.0243
-3.4205 -3.9355 0.5486
-4.7258 0.9052 2.0823
ATOMIC_POSITIONS crystal
Zn 0.1258 0.6247 0.6247
Sc 0.0000 0.0000 0.0000
Zn 0.6247 0.6247 0.1258
Zn 0.6247 0.1258 0.6247
Zr 0.2500 0.2500 0.2500
Zn 0.6247 0.6247 0.6247
```

Calculated values
V: 16.98 Å³ per atom
ΔE_f: -290 meV/atom
Density of states at the Fermi level: 5.43 states/eV per cell
Crystal system: cubic
Space-group type: F-43m



- Which of these has the lowest density of states at the Fermi level?
  ScZn2